# 1
Here is crystalline ScAg2Ir at its relaxed geometry from Alexandria via LeMat-Bulk. Energies are from GGA-PBE.

Cell: 3.4160 3.4160 6.0606 Å, 90.00 90.00 90.00°
Fractional coordinates of all 4 atoms:
Sc 0.0000 0.0000 0.0000
Ag 0.0000 0.0000 0.5245
Ag 0.5000 0.5000 0.2860
Ir 0.5000 0.5000 0.7955

## Properties
- calculated formation energy (meV per atom) = -255.4



# 2
Here is crystalline Sc2AgIr2 at its relaxed geometry from Alexandria via LeMat-Bulk. Energies are from GGA-PBE.

Cell: 7.6010 7.6010 3.1244 Å, 90.00 90.00 90.00°
Fractional coordinates of all 10 atoms:
Sc 0.1593 0.3407 0.0000
Sc 0.3407 0.8407 0.0000
Sc 0.6593 0.1593 0.0000
Sc 0.8407 0.6593 0.0000
Ag 0.0000 0.0000 0.5000
Ag 0.5000 0.5000 0.5000
Ir 0.1376 0.6376 0.5000
Ir 0.3624 0.1376 0.5000
Ir 0.6376 0.8624 0.5000
Ir 0.8624 0.3624 0.5000

## Properties
- calculated formation energy (meV per atom) = -604.9



Number 1: energy relative to the lowest polymorph listed for this composition 4.2 kJ per mole of atoms. Number 2: energy relative to the lowest polymorph listed for this composition 0.0 kJ per mole of atoms.